A crystal of AlSi2Ni relaxed with PBEsol. Source: the Alexandria database, functional SCAN.

Computed properties:
The value obtained for the uncorrected energy is -10.87 eV per atom. The value obtained for the energy relative to the elements, uncorrected is 0.12 eV per atom.

abc: 3.7219 3.7117 3.7117
angles: 90.00 90.00 90.00
Last column: nearest neighbours and their distance in Å.
Atoms (fractional coordinates):
Ni: 0.5000 0.0000 0.0000  4 Al 2.62, 8 Si 2.63
Si: 0.0000 0.0000 0.5000  4 Si 2.62, 4 Al 2.63, 4 Ni 2.63
Si: 0.0000 0.5000 0.0000  4 Si 2.62, 4 Al 2.63, 4 Ni 2.63
Al: 0.5000 0.5000 0.5000  4 Ni 2.62, 8 Si 2.63

=====

A crystal of CaFePbO2 relaxed with PBEsol. Source: the Alexandria database, functional SCAN.

Computed properties:
The value obtained for the uncorrected energy is -23.56 eV per atom. The value obtained for the energy relative to the elements, uncorrected is -0.36 eV per atom.

abc: 4.0092 4.0092 5.0399
angles: 90.00 90.00 90.00
Last column: nearest neighbours and their distance in Å.
Atoms (fractional coordinates):
Pb: 0.5000 0.5000 0.5000  4 Ca 2.83
Ca: 0.0000 0.0000 0.5000  2 Fe 2.52
Fe: 0.0000 0.0000 0.0000  4 O 2.00
O: 0.0000 0.5000 0.0000  2 Fe 2.00
O: 0.5000 0.0000 0.0000  2 Fe 2.00

=====

A crystal of Ti2Mo2Br relaxed with PBEsol. Source: the Alexandria database, functional SCAN.

Computed properties:
The value obtained for the uncorrected energy is -23.92 eV per atom. The value obtained for the energy relative to the elements, uncorrected is 0.34 eV per atom.

abc: 3.5035 3.5035 7.8177
angles: 102.95 102.95 90.00
Last column: nearest neighbours and their distance in Å.
Atoms (fractional coordinates):
Mo: 0.2500 0.7500 0.5000  4 Mo 2.48
Mo: 0.7500 0.2500 0.5000  4 Mo 2.48
Br: 0.0000 0.0000 0.0000  8 Ti 2.92
Ti: 0.3962 0.3962 0.7924  4 Mo 2.79, 4 Br 2.92, 1 Ti 3.08
Ti: 0.6038 0.6038 0.2076  4 Mo 2.79, 4 Br 2.92, 1 Ti 3.08

=====

A crystal of Na2AsHF relaxed with PBEsol. Source: the Alexandria database, functional SCAN.

Computed properties:
The value obtained for the uncorrected energy is -7.73 eV per atom.

abc: 2.8143 5.3170 5.3170
angles: 90.00 90.00 90.00
Last column: nearest neighbours and their distance in Å.
Atoms (fractional coordinates):
Na: 0.0000 0.0000 0.5000  2 H 2.66, 2 Na 2.81
Na: 0.0000 0.5000 0.0000  2 H 2.66, 2 Na 2.81
As: 0.5000 0.5000 0.5000  2 As 2.81, 8 Na 3.01
H: 0.0000 0.0000 0.0000  2 F 1.41
F: 0.5000 0.0000 0.0000  2 H 1.41

=====

A crystal of MgFe relaxed with PBEsol. Source: the Alexandria database, functional SCAN.

Computed properties:
The value obtained for the uncorrected energy is -11.37 eV per atom. The value obtained for the formation enthalpy at 0 K is 178 meV/atom.

abc: 2.9672 4.5420 5.2472
angles: 115.65 106.42 90.00
Last column: nearest neighbours and their distance in Å.
Atoms (fractional coordinates):
Fe: 0.3456 0.5956 0.6912  2 Fe 2.27
Fe: 0.6544 0.4044 0.3088  2 Fe 2.27
Mg: 0.8917 0.1417 0.7834  6 Fe 2.74-2.79, 6 Mg 2.95-2.99
Mg: 0.1083 0.8583 0.2166  6 Fe 2.74-2.79, 6 Mg 2.95-2.99

=====

A crystal of TaRu2N2 relaxed with PBEsol. Source: the Alexandria database, functional SCAN.

Computed properties:
The value obtained for the uncorrected energy is -30.47 eV per atom. The value obtained for the energy relative to the elements, uncorrected is 0.50 eV per atom.

abc: 3.6970 3.6970 4.9216
angles: 112.06 112.06 90.00
Last column: nearest neighbours and their distance in Å.
Atoms (fractional coordinates):
Ru: 0.3455 0.3455 0.6910  4 N 2.01
Ru: 0.6545 0.6545 0.3090  4 N 2.01
N: 0.2500 0.7500 0.5000  4 Ru 2.01
N: 0.7500 0.2500 0.5000  4 Ru 2.01
Ta: 0.0000 0.0000 0.0000  8 N 2.79, 10 Ru 2.88-2.91